A plane-wave DFT calculation with PBE with a Hubbard U was carried out for crystalline YTmV2O8 at its relaxed geometry.

Output
Final energy in eV/f.u.: -98.3

Unit cell a=5.979 b=5.979 c=5.979 alpha=106.29 beta=106.29 gamma=116.05
Sites, in units of the cell vectors:
Y 0.000 0.000 0.000
Tm 0.250 0.750 0.500
V 0.500 0.500 0.000
V 0.750 0.250 0.500
O 0.325 0.138 0.813
O 0.325 0.513 0.187
O 0.388 0.072 0.316
O 0.487 0.675 0.813
O 0.756 0.072 0.684
O 0.862 0.675 0.187
O 0.928 0.244 0.316
O 0.928 0.612 0.684